# LiVTeN2 (PBE-GGA, optimized geometry)
# Energy above the most stable polymorph in this dataset   0 meV per atom
# Uncorrected energy   -6.05 eV per atom
# Magnetic moment   0.13 μB/atom
# Formation energy without anion corrections   0.114 eV per atom
data_LiVTeN2
_chemical_formula_sum 'Li1 V1 Te1 N2'
_cell_length_a 3.786
_cell_length_b 3.786
_cell_length_c 5.617
_cell_angle_alpha 90.00
_cell_angle_beta 90.00
_cell_angle_gamma 90.00
_symmetry_space_group_name_H-M 'P 4/m m m'
_symmetry_Int_Tables_number 123
_symmetry_space_group_name_Hall '-P 4 2'
loop_
_atom_site_label
_atom_site_type_symbol
_atom_site_fract_x
_atom_site_fract_y
_atom_site_fract_z
Li1 Li 0.000 0.000 0.000
V1 V 0.500 0.500 0.500
Te1 Te 0.500 0.500 0.000
N1 N 0.000 0.500 0.500


# Ac2HgH2 (PBE-GGA, optimized geometry)
# Uncorrected energy   -3.57 eV per atom
# Magnetic moment   0.00 μB/atom
data_Ac2HgH2
_chemical_formula_sum 'Ac4 Hg2 H4'
_cell_length_a 4.141
_cell_length_b 4.141
_cell_length_c 13.661
_cell_angle_alpha 90.00
_cell_angle_beta 90.00
_cell_angle_gamma 90.00
_symmetry_space_group_name_H-M 'I 4/m m m'
_symmetry_Int_Tables_number 139
_symmetry_space_group_name_Hall '-I 4 2'
loop_
_atom_site_label
_atom_site_type_symbol
_atom_site_fract_x
_atom_site_fract_y
_atom_site_fract_z
Ac1 Ac 0.000 0.000 0.145
Hg1 Hg 0.000 0.000 0.500
H1 H 0.000 0.500 0.250


# ZnAs2AuSe (PBE-GGA, optimized geometry)
# Energy above the most stable polymorph in this dataset   0 meV per atom
# Uncorrected energy   -2.68 eV per atom
# Magnetic moment   0.00 μB/atom
# Formation energy without anion corrections   0.784 eV per atom
data_ZnAs2AuSe
_chemical_formula_sum 'Zn1 As2 Au1 Se1'
_cell_length_a 4.818
_cell_length_b 4.818
_cell_length_c 4.907
_cell_angle_alpha 90.00
_cell_angle_beta 90.00
_cell_angle_gamma 90.00
_symmetry_space_group_name_H-M 'P 4/m m m'
_symmetry_Int_Tables_number 123
_symmetry_space_group_name_Hall '-P 4 2'
loop_
_atom_site_label
_atom_site_type_symbol
_atom_site_fract_x
_atom_site_fract_y
_atom_site_fract_z
Zn1 Zn 0.000 0.000 0.000
As1 As 0.000 0.500 0.000
Au1 Au 0.500 0.500 0.500
Se1 Se 0.000 0.000 0.500


# Ba3TeH (PBE-GGA, optimized geometry)
# Energy above the most stable polymorph in this dataset   0 meV per atom
# Uncorrected energy   -3.02 eV per atom
# Magnetic moment   0.48 μB/atom
data_Ba3TeH
_chemical_formula_sum 'Ba3 Te1 H1'
_cell_length_a 5.534
_cell_length_b 5.534
_cell_length_c 5.534
_cell_angle_alpha 90.00
_cell_angle_beta 90.00
_cell_angle_gamma 90.00
_symmetry_space_group_name_H-M 'P m -3 m'
_symmetry_Int_Tables_number 221
_symmetry_space_group_name_Hall '-P 4 2 3'
loop_
_atom_site_label
_atom_site_type_symbol
_atom_site_fract_x
_atom_site_fract_y
_atom_site_fract_z
Ba1 Ba 0.000 0.000 0.500
Te1 Te 0.500 0.500 0.500
H1 H 0.000 0.000 0.000


# PrCuSe2 (PBE-GGA, optimized geometry)
# Uncorrected energy   -5.21 eV per atom
# Magnetic moment   0.00 μB/atom
# Formation energy without anion corrections   -1.246 eV per atom
data_PrCuSe2
_chemical_formula_sum 'Pr4 Cu4 Se8'
_cell_length_a 6.784
_cell_length_b 7.557
_cell_length_c 7.259
_cell_angle_alpha 90.00
_cell_angle_beta 96.59
_cell_angle_gamma 90.00
_symmetry_space_group_name_H-M 'P 1 21/c 1'
_symmetry_Int_Tables_number 14
loop_
_symmetry_equiv_pos_as_xyz
'x,y,z'
'-x,-y,-z'
'-x,y+1/2,-z+1/2'
'x,-y+1/2,z+1/2'
loop_
_atom_site_label
_atom_site_type_symbol
_atom_site_fract_x
_atom_site_fract_y
_atom_site_fract_z
Pr1 Pr 0.193 0.046 0.299
Cu1 Cu 0.432 0.662 0.455
Se1 Se 0.084 0.724 0.498
Se2 Se 0.403 0.112 0.722


# La2YTe (PBE-GGA, optimized geometry)
# Uncorrected energy   -5.47 eV per atom
# Magnetic moment   0.00 μB/atom
# Formation energy without anion corrections   -0.606 eV per atom
data_La2YTe
_chemical_formula_sum 'La2 Y1 Te1'
_cell_length_a 4.087
_cell_length_b 4.087
_cell_length_c 7.984
_cell_angle_alpha 90.00
_cell_angle_beta 90.00
_cell_angle_gamma 90.00
_symmetry_space_group_name_H-M 'P 4/m m m'
_symmetry_Int_Tables_number 123
_symmetry_space_group_name_Hall '-P 4 2'
loop_
_atom_site_label
_atom_site_type_symbol
_atom_site_fract_x
_atom_site_fract_y
_atom_site_fract_z
La1 La 0.000 0.000 0.222
Y1 Y 0.500 0.500 0.500
Te1 Te 0.500 0.500 0.000


What did the first record say?
# LiVTeN2 (PBE-GGA, optimized geometry)
# Energy above the most stable polymorph in this dataset   0 meV per atom
# Uncorrected energy   -6.05 eV per atom
# Magnetic moment   0.13 μB/atom
# Formation energy without anion corrections   0.114 eV per atom
data_LiVTeN2
_chemical_formula_sum 'Li1 V1 Te1 N2'
_cell_length_a 3.786
_cell_length_b 3.786
_cell_length_c 5.617
_cell_angle_alpha 90.00
_cell_angle_beta 90.00
_cell_angle_gamma 90.00
_symmetry_space_group_name_H-M 'P 4/m m m'
_symmetry_Int_Tables_number 123
_symmetry_space_group_name_Hall '-P 4 2'
loop_
_atom_site_label
_atom_site_type_symbol
_atom_site_fract_x
_atom_site_fract_y
_atom_site_fract_z
Li1 Li 0.000 0.000 0.000
V1 V 0.500 0.500 0.500
Te1 Te 0.500 0.500 0.000
N1 N 0.000 0.500 0.500